Entry 1:
Below is Na3SbRh after structural relaxation, with properties calculated at the PBE-GGA level.

Computed properties:
Excess energy over the best structure of this formula in the dataset (eV/atom): 0.132
Formation energy from raw total energies (eV/atom): 0.710
DFT total energy (eV/atom): -2.3762
Space-group type: Pm-3m (221)

Cell lengths 5.765, 5.765, 5.765 Å; angles 90.00, 90.00, 90.00 degrees
Element x y z (fractional)
Sb 0.000 0.000 0.000
Na 0.000 0.500 0.000
Na 0.500 0.000 0.000
Na 0.000 0.000 0.500
Rh 0.500 0.500 0.500

***

Entry 2:
Below is Na3SbRh after structural relaxation, with properties calculated at the PBE-GGA level.

Computed properties:
Excess energy over the best structure of this formula in the dataset (eV/atom): 0.000
Formation energy from raw total energies (eV/atom): 0.578
DFT total energy (eV/atom): -2.5080
Space-group type: Pm-3m (221)

Cell lengths 5.255, 5.255, 5.255 Å; angles 90.00, 90.00, 90.00 degrees
Element x y z (fractional)
Na 0.500 0.000 0.000
Na 0.000 0.000 0.500
Na 0.000 0.500 0.000
Rh 0.000 0.000 0.000
Sb 0.500 0.500 0.500

***

Entry 3:
Below is NaSb3Rh after structural relaxation, with properties calculated at the PBE-GGA level.

Computed properties:
Excess energy over the best structure of this formula in the dataset (eV/atom): 0.000
Formation energy from raw total energies (eV/atom): 0.094
DFT total energy (eV/atom): -4.1138
Space-group type: Pm-3m (221)

Cell lengths 5.253, 5.253, 5.253 Å; angles 90.00, 90.00, 90.00 degrees
Element x y z (fractional)
Na 0.500 0.500 0.500
Sb 0.500 0.000 0.000
Sb 0.000 0.000 0.500
Sb 0.000 0.500 0.000
Rh 0.000 0.000 0.000

***

Entry 4:
Below is Na2Sb7Rh12 after structural relaxation, with properties calculated at the PBE-GGA level.

Computed properties:
Formation energy from raw total energies (eV/atom): -0.421
DFT total energy (eV/atom): -6.1213
Space-group type: P-6 (174)

Cell lengths 4.037, 10.495, 10.495 Å; angles 120.00, 90.00, 90.00 degrees
Element x y z (fractional)
Rh 0.500 0.234 0.799
Rh 0.500 0.565 0.766
Rh 0.500 0.201 0.435
Rh 0.500 0.900 0.612
Rh 0.000 0.778 0.726
Rh 0.000 0.274 0.052
Rh 0.000 0.948 0.222
Rh 0.500 0.388 0.287
Rh 0.500 0.713 0.100
Rh 0.000 0.057 0.543
Rh 0.000 0.457 0.513
Rh 0.000 0.487 0.943
Sb 0.000 0.333 0.667
Sb 0.000 0.052 0.788
Sb 0.500 0.628 0.551
Sb 0.500 0.449 0.077
Sb 0.000 0.736 0.948
Sb 0.500 0.923 0.372
Sb 0.000 0.212 0.264
Na 0.000 0.667 0.333
Na 0.500 0.000 0.000

***

Entry 5:
Below is NaSbRh3 after structural relaxation, with properties calculated at the PBE-GGA level.

Computed properties:
Excess energy over the best structure of this formula in the dataset (eV/atom): 0.000
Formation energy from raw total energies (eV/atom): 0.603
DFT total energy (eV/atom): -4.8965
Space-group type: Pm-3m (221)

Cell lengths 4.897, 4.897, 4.897 Å; angles 90.00, 90.00, 90.00 degrees
Element x y z (fractional)
Rh 0.500 0.000 0.000
Rh 0.000 0.500 0.000
Rh 0.000 0.000 0.500
Sb 0.000 0.000 0.000
Na 0.500 0.500 0.500

***

Entry 6:
Below is Na3Sb5Rh6 after structural relaxation, with properties calculated at the PBE-GGA level.

Computed properties:
Formation energy from raw total energies (eV/atom): -0.401
DFT total energy (eV/atom): -5.3067
Space-group type: Pmmn (59)

Cell lengths 4.225, 10.170, 13.425 Å; angles 90.00, 90.00, 90.00 degrees
Element x y z (fractional)
Na 0.000 0.252 0.338
Na 0.000 0.252 0.662
Na 0.500 0.748 0.162
Na 0.500 0.748 0.838
Na 0.000 0.243 0.000
Na 0.500 0.757 0.500
Sb 0.500 0.488 0.619
Sb 0.500 0.154 0.171
Sb 0.000 0.846 0.671
Sb 0.000 0.512 0.119
Sb 0.500 0.134 0.500
Sb 0.500 0.154 0.829
Sb 0.000 0.866 0.000
Sb 0.000 0.512 0.881
Sb 0.500 0.488 0.381
Sb 0.000 0.846 0.329
Rh 0.500 0.998 0.332
Rh 0.500 0.998 0.668
Rh 0.500 0.405 0.799
Rh 0.000 0.002 0.168
Rh 0.000 0.595 0.299
Rh 0.500 0.405 0.201
Rh 0.000 0.002 0.832
Rh 0.000 0.595 0.701
Rh 0.500 0.016 0.000
Rh 0.000 0.984 0.500
Rh 0.000 0.502 0.500
Rh 0.500 0.498 0.000

***

Entry 7:
Below is NaSb3Rh5 after structural relaxation, with properties calculated at the PBE-GGA level.

Computed properties:
Formation energy from raw total energies (eV/atom): -0.336
DFT total energy (eV/atom): -5.9410
Space-group type: Cmcm (63)

Cell lengths 4.189, 7.160, 12.590 Å; angles 90.00, 90.00, 107.01 degrees
Element x y z (fractional)
Rh 0.192 0.385 0.563
Rh 0.559 0.118 0.635
Rh 0.808 0.615 0.063
Rh 0.808 0.615 0.437
Rh 0.559 0.118 0.865
Rh 0.192 0.385 0.937
Rh 0.441 0.882 0.365
Rh 0.000 0.000 0.000
Rh 0.441 0.882 0.135
Rh 0.000 0.000 0.500
Sb 0.379 0.758 0.940
Sb 0.621 0.242 0.060
Sb 0.379 0.758 0.560
Sb 0.910 0.820 0.250
Sb 0.090 0.180 0.750
Sb 0.621 0.242 0.440
Na 0.221 0.443 0.250
Na 0.779 0.557 0.750

***

Entry 8:
Below is NaSbRh2 after structural relaxation, with properties calculated at the PBE-GGA level.

Computed properties:
Formation energy from raw total energies (eV/atom): -0.146
DFT total energy (eV/atom): -5.1817
Space-group type: P4/mmm (123)

Cell lengths 3.438, 4.375, 4.375 Å; angles 90.00, 90.00, 90.00 degrees
Element x y z (fractional)
Na 0.500 0.000 0.000
Sb 0.500 0.500 0.500
Rh 0.000 0.000 0.500
Rh 0.000 0.500 0.000